(1)
Density functional theory data (PBE) for crystalline SrNbIN2 at its relaxed geometry.

Results
M_tot   0.00 μB per atom
Energy relative to the elements, uncorrected   -126 meV per atom
Excess energy over the best structure of this formula in the dataset   0.000 eV per atom
DOS(E_F)   1.88 states/eV/f.u.
Space-group type   No. 123

The structure in POSCAR format:
```
SrNbIN2
1.0
4.273 0.000 0.000
0.000 4.273 0.000
0.000 0.000 5.559
I Sr Nb N
1 1 1 2
Cartesian
0.000 0.000 2.779
2.136 2.136 2.779
0.000 0.000 0.000
0.000 2.136 0.000
2.136 0.000 0.000
```


(2)
Density functional theory data (PBE) for crystalline Tb4SmHo2Sc at its relaxed geometry.

Results
M_tot   0.00 μB per atom
Calculated total energy   -4.8079 eV per atom
DOS(E_F)   11.73 states/eV/f.u.
Space-group type   No. 10

The structure in POSCAR format:
```
Tb4SmHo2Sc
1.0
-0.454 -0.860 3.396
-3.368 -4.798 -1.665
8.337 -8.118 -0.943
Tb Sm Ho Sc
4 1 2 1
Cartesian
3.691 -9.659 -1.954
0.824 -4.118 2.742
-0.599 -6.093 0.214
5.114 -7.684 0.574
-1.911 -2.829 0.866
8.337 -8.118 -0.943
3.942 -4.489 1.227
2.484 -6.458 -1.304
```


(3)
Density functional theory data (PBE) for crystalline TlBrO2 at its relaxed geometry.

Results
M_tot   0.03 μB per atom
Energy relative to the elements, uncorrected   114 meV per atom
Excess energy over the best structure of this formula in the dataset   0.459 eV per atom
DOS(E_F)   2.99 states/eV/f.u.
Space-group type   No. 160

The structure in POSCAR format:
```
TlBrO2
1.0
2.244 0.000 6.965
-1.122 1.943 6.965
-1.122 -1.943 6.965
Tl O Br
1 2 1
Cartesian
0.000 0.000 10.593
0.000 0.000 3.248
0.000 0.000 12.987
0.000 0.000 20.209
```


(4)
Density functional theory data (PBE) for crystalline NiSb2Te at its relaxed geometry.

Results
M_tot   0.00 μB per atom
Energy relative to the elements, uncorrected   41 meV per atom
DOS(E_F)   2.32 states/eV/f.u.
Space-group type   No. 8

The structure in POSCAR format:
```
NiSb2Te
1.0
5.104 0.025 -0.089
3.696 3.519 -0.089
2.586 1.042 5.653
Ni Sb Te
1 2 1
Cartesian
9.240 3.721 4.753
2.885 1.162 5.015
2.531 1.020 1.033
5.009 2.018 3.065
```